Entry from Alexandria: a crystal of Al5Cu relaxed with PBEsol (SCAN).

Values from the calculation:
The calculation puts the formation energy from the elements at -0.044 eV per atom. For the total energy, the calculation gives -9.037 eV/atom.

abc: 6.1279 6.1279 3.9653
angles: 90.00 90.00 142.26
Element x y z (fractional)
Al1 0.0000 0.0000 0.0000
Al2 0.1617 0.8383 0.5000
Al3 0.3373 0.6627 0.0000
Al4 0.6627 0.3373 0.0000
Al5 0.8383 0.1617 0.5000
Cu1 0.5000 0.5000 0.5000